1.
Compound: LuIrPd
Source: the Open Quantum Materials Database
Functional: PBE
Structure: relaxed

Geometry as POSCAR:
```
LuIrPd
1.0
1.6953 -4.1016 0.5529
0.5799 -1.6435 4.1189
-2.6114 -3.3194 1.4713
Ir Lu Pd
1 1 1
Direct
0.0000 0.0000 0.0000
0.2500 0.2500 0.2500
0.7500 0.7500 0.7500
```

Results
**Spin magnetization**: 0.1 μB/cell
**Formation energy from the elements**: -267.0 meV/atom

=====

2.
Compound: CoW2
Source: the Open Quantum Materials Database
Functional: PBE
Structure: relaxed

Geometry as POSCAR:
```
CoW2
1.0
-3.0234 -4.1743 0.4812
2.6000 1.7992 4.0988
-6.4093 4.8646 1.9302
Co W
4 8
Direct
0.3333 0.6667 0.0627
0.3333 0.6667 0.4373
0.6667 0.3333 0.5627
0.6667 0.3333 0.9373
0.0000 0.0000 0.0000
0.3421 0.1711 0.2500
0.8289 0.1711 0.2500
0.8289 0.6579 0.2500
0.0000 0.0000 0.5000
0.1711 0.3421 0.7500
0.1711 0.8289 0.7500
0.6579 0.8289 0.7500
```

Results
**Distance to the lowest polymorph of the same formula**: 0.829 eV/atom
**Spin magnetization**: 0.2 μB/cell
**Formation energy from the elements**: 842.3 meV/atom

=====

3.
Compound: BeFeBiIr
Source: the Open Quantum Materials Database
Functional: PBE
Structure: relaxed

Geometry as POSCAR:
```
BeFeBiIr
1.0
0.0000 3.0878 3.0878
3.0878 0.0000 3.0878
3.0878 3.0878 0.0000
Be Bi Fe Ir
1 1 1 1
Direct
0.5000 0.5000 0.5000
0.0000 0.0000 0.0000
0.7500 0.7500 0.7500
0.2500 0.2500 0.2500
```

Results
**Distance to the lowest polymorph of the same formula**: 0.000 eV/atom
**Spin magnetization**: 0.0 μB/cell